This record from the Alexandria database describes crystalline Tm4HgRu2Pt at its relaxed geometry. The functional is PBE.

a = 4.874 Å, b = 4.874 Å, c = 8.473 Å
α = 73.28°, β = 73.28°, γ = 60.00°
Element x y z (fractional)
Tm 0.128 0.128 0.616
Tm 0.872 0.872 0.384
Pt 0.500 0.500 0.500
Ru 0.750 0.750 0.750
Tm 0.379 0.379 0.862
Ru 0.250 0.250 0.250
Hg 0.000 0.000 0.000
Tm 0.621 0.621 0.138

Properties
**ΔE_f**: -0.644 eV/atom